Density functional theory data (GGA-PBE) for a relaxed Y2AlIn crystal.

The formation enthalpy at 0 K is -0.203 eV/atom. As for the space-group type: P4mm, No. 99.

Geometry as POSCAR:
```
Y2AlIn
1.0
-0.0536 0.2044 -3.4847
2.9848 -1.8043 -0.1515
-4.4364 -7.3089 -0.3604
Al In Y
1 1 2
direct
0.0000 0.0000 0.5213
0.5000 0.5000 0.7165
0.0000 0.0000 0.9767
0.5000 0.5000 0.2856
```